Density functional theory data (PBE-GGA) for Cd2PbI6 after structural relaxation.

POSCAR file:
```
Cd2PbI6
1.0
-3.8896 0.2482 -2.3743
6.2909 1.7389 -5.7402
-1.7852 -12.3822 1.5871
Cd Pb I
2 1 6
Direct
0.7965 0.5951 0.2811
0.2035 0.4049 0.7189
0.0000 0.0000 0.0000
0.3455 0.6947 0.4281
0.6545 0.3053 0.5719
0.1446 0.2869 0.8963
0.6072 0.2165 0.1919
0.8554 0.7131 0.1037
0.3928 0.7835 0.8081
```

Computed properties:
symmetry	P-1, No. 2
crystal system	triclinic
uncorrected formation energy	-53.6	kJ/mol of atoms
ρ	4.5	Mg/m³


Density functional theory data (PBE-GGA) for Rb2Mn2I7 after structural relaxation.

POSCAR file:
```
Rb2Mn2I7
1.0
6.4365 -0.2715 0.0000
-1.6242 9.7395 0.0000
0.0000 0.0000 17.7721
Rb Mn I
4 4 14
Direct
0.6460 0.9736 0.1506
0.3540 0.5264 0.6506
0.3540 0.0264 0.8494
0.6460 0.4736 0.3494
0.8092 0.6221 0.8902
0.1908 0.3779 0.1098
0.8092 0.1221 0.6098
0.1908 0.8779 0.3902
0.0000 0.0000 0.5000
0.0000 0.5000 0.0000
0.2611 0.1469 0.0493
0.7389 0.3531 0.5493
0.7389 0.8531 0.9507
0.2611 0.6469 0.4507
0.0067 0.2094 0.7357
0.0067 0.7094 0.7643
0.9933 0.2906 0.2357
0.9933 0.7906 0.2643
0.5042 0.9235 0.6556
0.5042 0.4235 0.8444
0.4958 0.5765 0.1556
0.4958 0.0765 0.3444
```

Computed properties:
symmetry	P2_1/c, No. 14
crystal system	monoclinic
uncorrected formation energy	-72.2	kJ/mol of atoms
ρ	3.5	Mg/m³